1.
# Li2MgGa2Rh2, optimized geometry, DFT PBE
data_Li2MgGa2Rh2
_chemical_formula_sum 'Li4 Mg2 Ga4 Rh4'
_cell_length_a 7.397
_cell_length_b 4.277
_cell_length_c 6.876
_cell_angle_alpha 90.00
_cell_angle_beta 111.35
_cell_angle_gamma 90.00
_space_group_name_H-M_alt 'C 1 2/m 1'
_space_group_IT_number 12
_space_group_name_Hall '-C 2y'
loop_
_atom_site_label
_atom_site_fract_x
_atom_site_fract_y
_atom_site_fract_z
Li1 0.084 0.000 0.253
Mg1 0.000 0.500 0.500
Ga1 0.136 0.500 0.911
Rh1 0.232 0.000 0.694
# Formation energy from the elements, eV/atom: -0.4119
# Calculated density, Mg/m³: 6.285
# VASP energy, eV/atom: -4.152
# Total magnetization, μB/cell: 0.00

=====

2.
# RbUCrS4, optimized geometry, DFT PBE
data_RbUCrS4
_chemical_formula_sum 'Rb4 U4 Cr4 S16'
_cell_length_a 7.782
_cell_length_b 8.848
_cell_length_c 10.451
_cell_angle_alpha 90.00
_cell_angle_beta 90.00
_cell_angle_gamma 90.00
_space_group_name_H-M_alt 'I m m a'
_space_group_IT_number 74
_space_group_name_Hall '-I 2b 2'
loop_
_atom_site_label
_atom_site_fract_x
_atom_site_fract_y
_atom_site_fract_z
Rb1 0.000 0.250 0.175
U1 0.000 0.000 0.500
Cr1 0.250 0.250 0.750
S1 0.000 0.077 0.750
S2 0.209 0.250 0.513
# Calculated density, Mg/m³: 4.650
# VASP energy, eV/atom: -6.478
# Total magnetization, μB/cell: 20.00

=====

3.
# ZnP2C, optimized geometry, DFT PBE
data_ZnP2C
_chemical_formula_sum 'Zn4 P8 C4'
_cell_length_a 5.956
_cell_length_b 5.956
_cell_length_c 5.956
_cell_angle_alpha 90.00
_cell_angle_beta 90.00
_cell_angle_gamma 90.00
_space_group_name_H-M_alt 'F m -3 m'
_space_group_IT_number 225
_space_group_name_Hall '-F 4 2 3'
loop_
_atom_site_label
_atom_site_fract_x
_atom_site_fract_y
_atom_site_fract_z
Zn1 0.000 0.000 0.000
P1 0.250 0.250 0.250
C1 0.000 0.000 0.500
# Formation energy from the elements, eV/atom: 1.5916
# Energy relative to the lowest polymorph listed for this composition, meV/atom: 1317
# Calculated density, Mg/m³: 4.382
# VASP energy, eV/atom: -3.738
# Total magnetization, μB/cell: 0.00

=====

4.
# BeCuOs2, optimized geometry, DFT PBE
data_BeCuOs2
_chemical_formula_sum 'Be2 Cu2 Os4'
_cell_length_a 2.878
_cell_length_b 4.122
_cell_length_c 8.142
_cell_angle_alpha 90.00
_cell_angle_beta 90.00
_cell_angle_gamma 90.00
_space_group_name_H-M_alt 'I m m 2'
_space_group_IT_number 44
_space_group_name_Hall 'I 2 -2'
loop_
_atom_site_label
_atom_site_fract_x
_atom_site_fract_y
_atom_site_fract_z
Be1 0.000 0.000 0.000
Cu1 0.000 0.500 0.716
Os1 0.000 0.000 0.490
Os2 0.000 0.500 0.261
# Formation energy from the elements, eV/atom: 0.1268
# Calculated density, Mg/m³: 15.578
# VASP energy, eV/atom: -7.444
# Total magnetization, μB/cell: 0.00

=====

5.
# Nd4Dy2TmTh, optimized geometry, DFT PBE
data_Nd4Dy2TmTh
_chemical_formula_sum 'Nd16 Dy8 Tm4 Th4'
_cell_length_a 5.626
_cell_length_b 11.709
_cell_length_c 16.793
_cell_angle_alpha 90.00
_cell_angle_beta 90.00
_cell_angle_gamma 90.00
_space_group_name_H-M_alt 'C m c m'
_space_group_IT_number 63
_space_group_name_Hall '-C 2c 2'
loop_
_atom_site_label
_atom_site_fract_x
_atom_site_fract_y
_atom_site_fract_z
Nd1 0.000 0.000 0.000
Nd2 0.000 0.294 0.076
Nd3 0.000 0.414 0.250
Dy1 0.000 0.394 0.607
Tm1 0.000 0.196 0.750
Th1 0.000 0.111 0.250
# Formation energy from the elements, eV/atom: 0.2450
# Calculated density, Mg/m³: 7.823
# VASP energy, eV/atom: -4.776
# Total magnetization, μB/cell: 0.00

=====

6.
# LiSm4Tm4O12, optimized geometry, DFT PBE
data_LiSm4Tm4O12
_chemical_formula_sum 'Li1 Sm4 Tm4 O12'
_cell_length_a 5.685
_cell_length_b 8.327
_cell_length_c 6.162
_cell_angle_alpha 90.00
_cell_angle_beta 91.38
_cell_angle_gamma 90.00
_space_group_name_H-M_alt 'P 1 m 1'
_space_group_IT_number 6
_space_group_name_Hall 'P -2y'
loop_
_atom_site_label
_atom_site_fract_x
_atom_site_fract_y
_atom_site_fract_z
Li1 0.000 0.000 0.000
Sm1 0.052 0.500 0.756
Sm2 0.080 0.000 0.613
Sm3 0.524 0.000 0.176
Sm4 0.597 0.500 0.296
Tm1 0.066 0.280 0.230
Tm2 0.559 0.246 0.744
O1 0.236 0.167 0.926
O2 0.236 0.500 0.109
O3 0.362 0.174 0.430
O4 0.431 0.500 0.653
O5 0.715 0.000 0.809
O6 0.735 0.312 0.051
O7 0.874 0.300 0.551
O8 0.918 0.000 0.276
# Energy relative to the lowest polymorph listed for this composition, meV/atom: 0
# Calculated density, Mg/m³: 8.405
# VASP energy, eV/atom: -7.915
# Total magnetization, μB/cell: 1.00